1.
The following is a PBE-GGA calculation of InHgCl2F after structural relaxation, from Alexandria via LeMat-Bulk.

## Properties
N(E_F): 3.32 states/eV/cell
Magnetic moment: 0.00 μB/atom
Formation energy from raw total energies: -1.04 eV/atom
Total DFT energy (no corrections): -2.758 eV/atom

a = 5.272 Å, b = 5.272 Å, c = 4.338 Å
α = 90.00°, β = 90.00°, γ = 90.00°
Fractional positions:
In: 0.000 0.000 0.000
Hg: 0.500 0.500 0.500
Cl: 0.000 0.500 0.000
Cl: 0.500 0.000 0.000
F: 0.000 0.000 0.500

=====

2.
The following is a PBE-GGA calculation of K2HgCl2F2 after structural relaxation, from Alexandria via LeMat-Bulk.

## Properties
N(E_F): 0.00 states/eV/cell
Magnetic moment: 0.00 μB/atom
Formation energy from raw total energies: -1.81 eV/atom
Total DFT energy (no corrections): -3.227 eV/atom

a = 4.754 Å, b = 4.754 Å, c = 15.325 Å
α = 90.00°, β = 90.00°, γ = 90.00°
Fractional positions:
K: 0.000 0.000 0.122
K: 0.000 0.000 0.878
K: 0.500 0.500 0.378
K: 0.500 0.500 0.622
Hg: 0.000 0.000 0.500
Hg: 0.500 0.500 0.000
Cl: 0.000 0.000 0.333
Cl: 0.000 0.000 0.667
Cl: 0.500 0.500 0.167
Cl: 0.500 0.500 0.833
F: 0.000 0.500 0.000
F: 0.000 0.500 0.500
F: 0.500 0.000 0.000
F: 0.500 0.000 0.500

=====

3.
The following is a PBE-GGA calculation of K3Hg2Cl2F5 after structural relaxation, from Alexandria via LeMat-Bulk.

## Properties
Magnetic moment: 0.00 μB/atom
Formation energy from raw total energies: -1.87 eV/atom
Total DFT energy (no corrections): -3.286 eV/atom

a = 12.505 Å, b = 12.505 Å, c = 12.505 Å
α = 158.35°, β = 158.35°, γ = 30.80°
Fractional positions:
K: 0.000 0.000 0.000
K: 0.165 0.165 0.000
K: 0.835 0.835 0.000
Hg: 0.406 0.406 0.000
Hg: 0.594 0.594 0.000
Cl: 0.301 0.301 0.000
Cl: 0.699 0.699 0.000
F: 0.088 0.588 0.500
F: 0.412 0.912 0.500
F: 0.500 0.500 0.000
F: 0.588 0.088 0.500
F: 0.912 0.412 0.500

=====

4.
The following is a PBE-GGA calculation of K2HgClF6 after structural relaxation, from Alexandria via LeMat-Bulk.

## Properties
N(E_F): 8.66 states/eV/cell
Magnetic moment: 0.11 μB/atom
Formation energy from raw total energies: -1.72 eV/atom
Total DFT energy (no corrections): -3.282 eV/atom

a = 6.508 Å, b = 6.512 Å, c = 6.655 Å
α = 112.17°, β = 113.19°, γ = 101.86°
Fractional positions:
K: 0.214 0.285 0.002
K: 0.786 0.715 0.998
Hg: 0.000 0.500 0.500
Cl: 0.500 0.000 0.500
F: 0.070 0.815 0.813
F: 0.213 0.709 0.321
F: 0.307 0.470 0.734
F: 0.693 0.530 0.266
F: 0.787 0.291 0.679
F: 0.930 0.185 0.187

=====

5.
The following is a PBE-GGA calculation of KHgClF2 after structural relaxation, from Alexandria via LeMat-Bulk.

## Properties
N(E_F): 0.08 states/eV/cell
Magnetic moment: 0.00 μB/atom
Formation energy from raw total energies: -1.65 eV/atom
Total DFT energy (no corrections): -3.051 eV/atom

a = 4.623 Å, b = 4.623 Å, c = 5.314 Å
α = 90.00°, β = 90.00°, γ = 90.00°
Fractional positions:
K: 0.000 0.000 0.000
Hg: 0.500 0.500 0.500
Cl: 0.500 0.500 0.000
F: 0.000 0.500 0.500
F: 0.500 0.000 0.500

=====

Question: Among the records above, which one has the lowest total DFT energy (no corrections)?
Answer: K3Hg2Cl2F5

=====

What did the second record say?
The following is a PBE-GGA calculation of K2HgCl2F2 after structural relaxation, from Alexandria via LeMat-Bulk.

## Properties
N(E_F): 0.00 states/eV/cell
Magnetic moment: 0.00 μB/atom
Formation energy from raw total energies: -1.81 eV/atom
Total DFT energy (no corrections): -3.227 eV/atom

a = 4.754 Å, b = 4.754 Å, c = 15.325 Å
α = 90.00°, β = 90.00°, γ = 90.00°
Fractional positions:
K: 0.000 0.000 0.122
K: 0.000 0.000 0.878
K: 0.500 0.500 0.378
K: 0.500 0.500 0.622
Hg: 0.000 0.000 0.500
Hg: 0.500 0.500 0.000
Cl: 0.000 0.000 0.333
Cl: 0.000 0.000 0.667
Cl: 0.500 0.500 0.167
Cl: 0.500 0.500 0.833
F: 0.000 0.500 0.000
F: 0.000 0.500 0.500
F: 0.500 0.000 0.000
F: 0.500 0.000 0.500

=====

Question: Which value of formation energy from raw total energies does entry 2 give?
Answer: -1.81 eV/atom

=====

Copy entry 5 word for word.
The following is a PBE-GGA calculation of KHgClF2 after structural relaxation, from Alexandria via LeMat-Bulk.

## Properties
N(E_F): 0.08 states/eV/cell
Magnetic moment: 0.00 μB/atom
Formation energy from raw total energies: -1.65 eV/atom
Total DFT energy (no corrections): -3.051 eV/atom

a = 4.623 Å, b = 4.623 Å, c = 5.314 Å
α = 90.00°, β = 90.00°, γ = 90.00°
Fractional positions:
K: 0.000 0.000 0.000
Hg: 0.500 0.500 0.500
Cl: 0.500 0.500 0.000
F: 0.000 0.500 0.500
F: 0.500 0.000 0.500